1.
A relaxed ScMnRu2N crystal, computed with GGA-PBE.

Values from the calculation:
Crystal system: tetragonal
Final energy: -43.49 eV/f.u.
Uncorrected formation energy: -0.222 eV/atom

```
data_ScMnRu2N
_space_group_name_H-M_alt 'P 4/m m m'
_space_group_IT_number 123
_space_group_name_Hall '-P 4 2'
_cell_length_a 4.068
_cell_length_b 4.068
_cell_length_c 4.203
_cell_angle_alpha 90.00
_cell_angle_beta 90.00
_cell_angle_gamma 90.00
loop_
_atom_site_label
_atom_site_type_symbol
_atom_site_fract_x
_atom_site_fract_y
_atom_site_fract_z
Sc1 Sc 0.000 0.000 0.000
Mn1 Mn 0.500 0.500 0.000
Ru1 Ru 0.000 0.500 0.500
N1 N 0.000 0.000 0.500
```


2.
A relaxed Ga3SeN crystal, computed with GGA-PBE.

Values from the calculation:
Energy above the lowest structure with this stoichiometry: 0.0 kJ/mol of atoms
Crystal system: cubic
Final energy: -19.48 eV/f.u.
Uncorrected formation energy: 0.283 eV/atom

```
data_Ga3SeN
_space_group_name_H-M_alt 'P m -3 m'
_space_group_IT_number 221
_space_group_name_Hall '-P 4 2 3'
_cell_length_a 4.477
_cell_length_b 4.477
_cell_length_c 4.477
_cell_angle_alpha 90.00
_cell_angle_beta 90.00
_cell_angle_gamma 90.00
loop_
_atom_site_label
_atom_site_type_symbol
_atom_site_fract_x
_atom_site_fract_y
_atom_site_fract_z
Ga1 Ga 0.000 0.000 0.500
Se1 Se 0.500 0.500 0.500
N1 N 0.000 0.000 0.000
```


3.
A relaxed KTb2Pu3Te6 crystal, computed with GGA-PBE.

Values from the calculation:
Crystal system: monoclinic
Final energy: -86.15 eV/f.u.
Uncorrected formation energy: -1.162 eV/atom

```
data_KTb2Pu3Te6
_space_group_name_H-M_alt 'C 1 2/m 1'
_space_group_IT_number 12
_cell_length_a 19.502
_cell_length_b 4.438
_cell_length_c 9.061
_cell_angle_alpha 90.00
_cell_angle_beta 102.63
_cell_angle_gamma 90.00
loop_
_space_group_symop_operation_xyz
'x,y,z'
'-x,-y,-z'
'-x,y,-z'
'x,-y,z'
'x+1/2,y+1/2,z'
'-x+1/2,-y+1/2,-z'
'-x+1/2,y+1/2,-z'
'x+1/2,-y+1/2,z'
loop_
_atom_site_label
_atom_site_type_symbol
_atom_site_fract_x
_atom_site_fract_y
_atom_site_fract_z
K1 K 0.000 0.000 0.000
Tb1 Tb 0.168 0.500 0.339
Pu1 Pu 0.000 0.000 0.500
Pu2 Pu 0.164 0.500 0.834
Te1 Te 0.005 0.500 0.265
Te2 Te 0.168 0.000 0.584
Te3 Te 0.173 0.000 0.093
```


4.
A relaxed BSb2SeI crystal, computed with GGA-PBE.

Values from the calculation:
Energy above the lowest structure with this stoichiometry: 0.0 kJ/mol of atoms
Crystal system: tetragonal
Final energy: -15.96 eV/f.u.
Uncorrected formation energy: 0.799 eV/atom

```
data_BSb2SeI
_space_group_name_H-M_alt 'P 4/m m m'
_space_group_IT_number 123
_space_group_name_Hall '-P 4 2'
_cell_length_a 5.042
_cell_length_b 5.042
_cell_length_c 4.720
_cell_angle_alpha 90.00
_cell_angle_beta 90.00
_cell_angle_gamma 90.00
loop_
_atom_site_label
_atom_site_type_symbol
_atom_site_fract_x
_atom_site_fract_y
_atom_site_fract_z
B1 B 0.000 0.000 0.000
Sb1 Sb 0.000 0.500 0.000
Se1 Se 0.500 0.500 0.500
I1 I 0.000 0.000 0.500
```


5.
A relaxed AlReNF2 crystal, computed with GGA-PBE.

Values from the calculation:
Energy above the lowest structure with this stoichiometry: 11.9 kJ/mol of atoms
Crystal system: tetragonal
Final energy: -30.41 eV/f.u.
Uncorrected formation energy: -0.431 eV/atom

```
data_AlReNF2
_space_group_name_H-M_alt 'P 4/m m m'
_space_group_IT_number 123
_space_group_name_Hall '-P 4 2'
_cell_length_a 4.301
_cell_length_b 4.301
_cell_length_c 3.822
_cell_angle_alpha 90.00
_cell_angle_beta 90.00
_cell_angle_gamma 90.00
loop_
_atom_site_label
_atom_site_type_symbol
_atom_site_fract_x
_atom_site_fract_y
_atom_site_fract_z
Al1 Al 0.000 0.000 0.000
Re1 Re 0.500 0.500 0.500
N1 N 0.500 0.500 0.000
F1 F 0.000 0.500 0.500
```


6.
A relaxed LiTc3Mo crystal, computed with GGA-PBE.

Values from the calculation:
Energy of formation from the pure elements: 5.25 eV/f.u.
Energy above the lowest structure with this stoichiometry: 0.0 kJ/mol of atoms
Crystal system: cubic
Final energy: -38.59 eV/f.u.

```
data_LiTc3Mo
_space_group_name_H-M_alt 'P m -3 m'
_space_group_IT_number 221
_space_group_name_Hall '-P 4 2 3'
_cell_length_a 4.126
_cell_length_b 4.126
_cell_length_c 4.126
_cell_angle_alpha 90.00
_cell_angle_beta 90.00
_cell_angle_gamma 90.00
loop_
_atom_site_label
_atom_site_type_symbol
_atom_site_fract_x
_atom_site_fract_y
_atom_site_fract_z
Li1 Li 0.000 0.000 0.000
Tc1 Tc 0.000 0.000 0.500
Mo1 Mo 0.500 0.500 0.500
```


7.
A relaxed Y3Ga2Ni7 crystal, computed with GGA-PBE.

Values from the calculation:
Energy of formation from the pure elements: -5.97 eV/f.u.
Crystal system: trigonal
Final energy: -71.89 eV/f.u.

```
data_Y3Ga2Ni7
_space_group_name_H-M_alt 'R -3 m'
_space_group_IT_number 166
_space_group_name_Hall '-R 3 2"'
_cell_length_a 5.1644
_cell_length_b 5.1644
_cell_length_c 23.8382
_cell_angle_alpha 90.00
_cell_angle_beta 90.00
_cell_angle_gamma 120.00
loop_
_atom_site_label
_atom_site_type_symbol
_atom_site_fract_x
_atom_site_fract_y
_atom_site_fract_z
Y1 Y 0.0000 0.0000 0.0000
Y2 Y 0.0000 0.0000 0.1408
Ga1 Ga 0.0000 0.0000 0.3322
Ni1 Ni 0.0000 0.0000 0.5000
Ni2 Ni 0.0032 0.5016 0.0822
```


8.
A relaxed LiPr2PaSe6 crystal, computed with GGA-PBE.

Values from the calculation:
Crystal system: tetragonal
Final energy: -54.89 eV/f.u.
Uncorrected formation energy: -1.301 eV/atom

```
data_LiPr2PaSe6
_space_group_name_H-M_alt 'P 4 m m'
_space_group_IT_number 99
_cell_length_a 6.911
_cell_length_b 6.911
_cell_length_c 6.383
_cell_angle_alpha 90.00
_cell_angle_beta 90.00
_cell_angle_gamma 90.00
loop_
_space_group_symop_operation_xyz
'x,y,z'
'-y,x,z'
'-x,-y,z'
'y,-x,z'
'-x,y,z'
'y,x,z'
'x,-y,z'
'-y,-x,z'
loop_
_atom_site_label
_atom_site_type_symbol
_atom_site_fract_x
_atom_site_fract_y
_atom_site_fract_z
Li1 Li 0.000 0.000 0.000
Pr1 Pr 0.000 0.500 0.454
Pa1 Pa 0.500 0.500 0.063
Se1 Se 0.000 0.000 0.620
Se2 Se 0.238 0.238 0.184
Se3 Se 0.500 0.500 0.622
```


9.
A relaxed SrCaGe2Pd5 crystal, computed with GGA-PBE.

Values from the calculation:
Energy of formation from the pure elements: -5.66 eV/f.u.
Crystal system: tetragonal
Final energy: -44.54 eV/f.u.

```
data_SrCaGe2Pd5
_space_group_name_H-M_alt 'P 4/m m m'
_space_group_IT_number 123
_space_group_name_Hall '-P 4 2'
_cell_length_a 4.390
_cell_length_b 4.390
_cell_length_c 9.004
_cell_angle_alpha 90.00
_cell_angle_beta 90.00
_cell_angle_gamma 90.00
loop_
_atom_site_label
_atom_site_type_symbol
_atom_site_fract_x
_atom_site_fract_y
_atom_site_fract_z
Sr1 Sr 0.000 0.000 0.000
Ca1 Ca 0.000 0.000 0.500
Ge1 Ge 0.500 0.500 0.359
Pd1 Pd 0.000 0.500 0.235
Pd2 Pd 0.500 0.500 0.000
```


10.
A relaxed Tb2ZrHg6 crystal, computed with GGA-PBE.

Values from the calculation:
Energy of formation from the pure elements: -2.32 eV/f.u.
Crystal system: monoclinic
Final energy: -21.94 eV/f.u.

```
data_Tb2ZrHg6
_space_group_name_H-M_alt 'C 1 2/c 1'
_space_group_IT_number 15
_cell_length_a 14.240
_cell_length_b 11.547
_cell_length_c 5.380
_cell_angle_alpha 90.00
_cell_angle_beta 100.02
_cell_angle_gamma 90.00
loop_
_space_group_symop_operation_xyz
'x,y,z'
'-x,-y,-z'
'-x,y,-z+1/2'
'x,-y,z+1/2'
'x+1/2,y+1/2,z'
'-x+1/2,-y+1/2,-z'
'-x+1/2,y+1/2,-z+1/2'
'x+1/2,-y+1/2,z+1/2'
loop_
_atom_site_label
_atom_site_type_symbol
_atom_site_fract_x
_atom_site_fract_y
_atom_site_fract_z
Tb1 Tb 0.166 0.124 0.082
Zr1 Zr 0.000 0.389 0.250
Hg1 Hg 0.056 0.134 0.526
Hg2 Hg 0.108 0.373 0.803
Hg3 Hg 0.216 0.376 0.361
```


11.
A relaxed PaAl2Sn crystal, computed with GGA-PBE.

Values from the calculation:
Energy of formation from the pure elements: -0.03 eV/f.u.
Energy above the lowest structure with this stoichiometry: 25.1 kJ/mol of atoms
Crystal system: tetragonal
Final energy: -21.01 eV/f.u.

```
data_PaAl2Sn
_space_group_name_H-M_alt 'P 4/m m m'
_space_group_IT_number 123
_space_group_name_Hall '-P 4 2'
_cell_length_a 3.645
_cell_length_b 3.645
_cell_length_c 6.574
_cell_angle_alpha 90.00
_cell_angle_beta 90.00
_cell_angle_gamma 90.00
loop_
_atom_site_label
_atom_site_type_symbol
_atom_site_fract_x
_atom_site_fract_y
_atom_site_fract_z
Pa1 Pa 0.000 0.000 0.000
Al1 Al 0.500 0.500 0.279
Sn1 Sn 0.000 0.000 0.500
```